Entry 1
The following is a PBE calculation of an optimized crystal structure of NaAs, from the Alexandria database.

Calculated values
V in Å³/atom: 25.03

CIF file:
```
data_NaAs
_symmetry_space_group_name_H-M 'P 21 21 21'
_symmetry_Int_Tables_number 19
_cell_length_a 6.003
_cell_length_b 6.295
_cell_length_c 10.598
_cell_angle_alpha 90.00
_cell_angle_beta 90.00
_cell_angle_gamma 90.00
loop_
_symmetry_equiv_pos_as_xyz
'x,y,z'
'-x+1/2,-y,z+1/2'
'x+1/2,-y+1/2,-z'
'-x,y+1/2,-z+1/2'
loop_
_atom_site_label
_atom_site_fract_x
_atom_site_fract_y
_atom_site_fract_z
Na1 0.113 0.101 0.422
Na2 0.153 0.341 0.795
As1 0.115 0.538 0.540
As2 0.153 0.168 0.126
```


Entry 2
The following is a PBE calculation of an optimized crystal structure of NaAs, from the Alexandria database.

Calculated values
V in Å³/atom: 25.49
DOS(E_F) in states/eV/cell: 4.9

CIF file:
```
data_NaAs
_symmetry_space_group_name_H-M 'I 41/a m d'
_symmetry_Int_Tables_number 141
_cell_length_a 4.439
_cell_length_b 4.439
_cell_length_c 20.701
_cell_angle_alpha 90.00
_cell_angle_beta 90.00
_cell_angle_gamma 90.00
loop_
_symmetry_equiv_pos_as_xyz
'x,y,z'
'-x,-y,-z'
'-y+1/4,x+3/4,z+1/4'
'y+1/4,-x+3/4,-z+1/4'
'-x+1/2,-y,z+1/2'
'x+1/2,y,-z+1/2'
'y+1/4,-x+1/4,z+3/4'
'-y+1/4,x+1/4,-z+3/4'
'x,-y,-z'
'-x,y,z'
'-y+1/4,-x+1/4,-z+3/4'
'y+1/4,x+1/4,z+3/4'
'-x+1/2,y,-z+1/2'
'x+1/2,-y,z+1/2'
'y+1/4,x+3/4,-z+1/4'
'-y+1/4,-x+3/4,z+1/4'
'x+1/2,y+1/2,z+1/2'
'-x+1/2,-y+1/2,-z+1/2'
'-y+3/4,x+1/4,z+3/4'
'y+3/4,-x+1/4,-z+3/4'
'-x,-y+1/2,z'
'x,y+1/2,-z'
'y+3/4,-x+3/4,z+1/4'
'-y+3/4,x+3/4,-z+1/4'
'x+1/2,-y+1/2,-z+1/2'
'-x+1/2,y+1/2,z+1/2'
'-y+3/4,-x+3/4,-z+1/4'
'y+3/4,x+3/4,z+1/4'
'-x,y+1/2,-z'
'x,-y+1/2,z'
'y+3/4,x+1/4,-z+3/4'
'-y+3/4,-x+1/4,z+3/4'
loop_
_atom_site_label
_atom_site_fract_x
_atom_site_fract_y
_atom_site_fract_z
Na1 0.000 0.250 0.072
As1 0.000 0.250 0.220
```


Which structure wins on stability? entry 1 wins.


Entry 1
The following is a PBE calculation of an optimized crystal structure of NaNbAs2, from the Alexandria database.

Calculated values
V in Å³/atom: 20.91
DOS(E_F) in states/eV/cell: 5.3

CIF file:
```
data_NaNbAs2
_symmetry_space_group_name_H-M 'R -3 m'
_symmetry_Int_Tables_number 166
_symmetry_space_group_name_Hall '-R 3 2"'
_cell_length_a 3.4833
_cell_length_b 3.4833
_cell_length_c 23.8754
_cell_angle_alpha 90.00
_cell_angle_beta 90.00
_cell_angle_gamma 120.00
loop_
_atom_site_label
_atom_site_fract_x
_atom_site_fract_y
_atom_site_fract_z
Na1 0.0000 0.0000 0.0000
Nb1 0.0000 0.0000 0.5000
As1 0.0000 0.0000 0.2389
```


Entry 2
The following is a PBE calculation of an optimized crystal structure of NaNbAs2, from the Alexandria database.

Calculated values
V in Å³/atom: 18.50
DOS(E_F) in states/eV/cell: 11.6

CIF file:
```
data_NaNbAs2
_symmetry_space_group_name_H-M 'F m -3 m'
_symmetry_Int_Tables_number 225
_symmetry_space_group_name_Hall '-F 4 2 3'
_cell_length_a 6.665
_cell_length_b 6.665
_cell_length_c 6.665
_cell_angle_alpha 90.00
_cell_angle_beta 90.00
_cell_angle_gamma 90.00
loop_
_atom_site_label
_atom_site_fract_x
_atom_site_fract_y
_atom_site_fract_z
Na1 0.000 0.000 0.000
Nb1 0.000 0.000 0.500
As1 0.250 0.250 0.250
```


Entry 3
The following is a PBE calculation of an optimized crystal structure of NaNbAs2, from the Alexandria database.

Calculated values
V in Å³/atom: 30.32
DOS(E_F) in states/eV/cell: 0.0

CIF file:
```
data_NaNbAs2
_symmetry_space_group_name_H-M 'I -4 2 d'
_symmetry_Int_Tables_number 122
_symmetry_space_group_name_Hall 'I -4 2bw'
_cell_length_a 6.606
_cell_length_b 6.606
_cell_length_c 11.116
_cell_angle_alpha 90.00
_cell_angle_beta 90.00
_cell_angle_gamma 90.00
loop_
_atom_site_label
_atom_site_fract_x
_atom_site_fract_y
_atom_site_fract_z
Na1 0.000 0.000 0.000
Nb1 0.000 0.000 0.500
As1 0.183 0.250 0.625
```


Entry 4
The following is a PBE calculation of an optimized crystal structure of NaNbAs2, from the Alexandria database.

Calculated values
V in Å³/atom: 19.79
DOS(E_F) in states/eV/cell: 3.3

CIF file:
```
data_NaNbAs2
_symmetry_space_group_name_H-M 'P 4/m m m'
_symmetry_Int_Tables_number 123
_symmetry_space_group_name_Hall '-P 4 2'
_cell_length_a 3.302
_cell_length_b 3.302
_cell_length_c 7.262
_cell_angle_alpha 90.00
_cell_angle_beta 90.00
_cell_angle_gamma 90.00
loop_
_atom_site_label
_atom_site_fract_x
_atom_site_fract_y
_atom_site_fract_z
Na1 0.000 0.000 0.000
Nb1 0.000 0.000 0.500
As1 0.500 0.500 0.295
```


Which structure wins on stability? entry 1 wins.


Entry 1
The following is a PBE calculation of an optimized crystal structure of Na2NbAsO6, from the Alexandria database.

Calculated values
V in Å³/atom: 14.37
DOS(E_F) in states/eV/cell: 0.0

CIF file:
```
data_Na2NbAsO6
_symmetry_space_group_name_H-M 'C 1 2/c 1'
_symmetry_Int_Tables_number 15
_cell_length_a 14.792
_cell_length_b 11.015
_cell_length_c 7.424
_cell_angle_alpha 90.00
_cell_angle_beta 108.18
_cell_angle_gamma 90.00
loop_
_symmetry_equiv_pos_as_xyz
'x,y,z'
'-x,-y,-z'
'-x,y,-z+1/2'
'x,-y,z+1/2'
'x+1/2,y+1/2,z'
'-x+1/2,-y+1/2,-z'
'-x+1/2,y+1/2,-z+1/2'
'x+1/2,-y+1/2,z+1/2'
loop_
_atom_site_label
_atom_site_fract_x
_atom_site_fract_y
_atom_site_fract_z
Na1 0.000 0.008 0.250
Na2 0.000 0.452 0.250
Na3 0.140 0.211 0.061
Nb1 0.211 0.498 0.615
As1 0.129 0.189 0.550
O1 0.017 0.141 0.528
O2 0.101 0.419 0.062
O3 0.131 0.344 0.511
O4 0.163 0.122 0.371
O5 0.203 0.157 0.779
O6 0.241 0.451 0.877
```


Entry 2
The following is a PBE calculation of an optimized crystal structure of Na2NbAsO6, from the Alexandria database.

Calculated values
V in Å³/atom: 13.01
DOS(E_F) in states/eV/cell: 0.0

CIF file:
```
data_Na2NbAsO6
_symmetry_space_group_name_H-M 'P 4 m m'
_symmetry_Int_Tables_number 99
_cell_length_a 5.202
_cell_length_b 5.202
_cell_length_c 4.809
_cell_angle_alpha 90.00
_cell_angle_beta 90.00
_cell_angle_gamma 90.00
loop_
_symmetry_equiv_pos_as_xyz
'x,y,z'
'-y,x,z'
'-x,-y,z'
'y,-x,z'
'-x,y,z'
'y,x,z'
'x,-y,z'
'-y,-x,z'
loop_
_atom_site_label
_atom_site_fract_x
_atom_site_fract_y
_atom_site_fract_z
Na1 0.000 0.500 0.000
Nb1 0.000 0.000 0.545
As1 0.500 0.500 0.542
O1 0.000 0.000 0.169
O2 0.262 0.262 0.652
O3 0.500 0.500 0.189
```


Which structure wins on stability? entry 1 wins.


Entry 1
The following is a PBE calculation of an optimized crystal structure of NaNbAsSe2, from the Alexandria database.

Calculated values
V in Å³/atom: 26.38
DOS(E_F) in states/eV/cell: 0.7

CIF file:
```
data_NaNbAsSe2
_symmetry_space_group_name_H-M 'P 4/m m m'
_symmetry_Int_Tables_number 123
_symmetry_space_group_name_Hall '-P 4 2'
_cell_length_a 5.097
_cell_length_b 5.097
_cell_length_c 5.077
_cell_angle_alpha 90.00
_cell_angle_beta 90.00
_cell_angle_gamma 90.00
loop_
_atom_site_label
_atom_site_fract_x
_atom_site_fract_y
_atom_site_fract_z
Na1 0.000 0.000 0.000
Nb1 0.500 0.500 0.500
As1 0.500 0.500 0.000
Se1 0.000 0.500 0.500
```


Entry 2
The following is a PBE calculation of an optimized crystal structure of NaNbAsSe2, from the Alexandria database.

Calculated values
V in Å³/atom: 23.32
DOS(E_F) in states/eV/cell: 7.6

CIF file:
```
data_NaNbAsSe2
_symmetry_space_group_name_H-M 'P 4/m m m'
_symmetry_Int_Tables_number 123
_symmetry_space_group_name_Hall '-P 4 2'
_cell_length_a 4.934
_cell_length_b 4.934
_cell_length_c 4.788
_cell_angle_alpha 90.00
_cell_angle_beta 90.00
_cell_angle_gamma 90.00
loop_
_atom_site_label
_atom_site_fract_x
_atom_site_fract_y
_atom_site_fract_z
Na1 0.000 0.000 0.000
Nb1 0.500 0.500 0.500
As1 0.000 0.000 0.500
Se1 0.000 0.500 0.000
```


Which structure wins on stability? entry 1 wins.


Entry 1
The following is a PBE calculation of an optimized crystal structure of NaNi3As2, from the Alexandria database.

Calculated values
V in Å³/atom: 15.87
DOS(E_F) in states/eV/cell: 13.3

CIF file:
```
data_NaNi3As2
_symmetry_space_group_name_H-M 'C 1 2/m 1'
_symmetry_Int_Tables_number 12
_cell_length_a 14.799
_cell_length_b 3.758
_cell_length_c 7.430
_cell_angle_alpha 90.00
_cell_angle_beta 112.85
_cell_angle_gamma 90.00
loop_
_symmetry_equiv_pos_as_xyz
'x,y,z'
'-x,-y,-z'
'-x,y,-z'
'x,-y,z'
'x+1/2,y+1/2,z'
'-x+1/2,-y+1/2,-z'
'-x+1/2,y+1/2,-z'
'x+1/2,-y+1/2,z'
loop_
_atom_site_label
_atom_site_fract_x
_atom_site_fract_y
_atom_site_fract_z
Na1 0.154 0.000 0.056
Ni1 0.046 0.000 0.384
Ni2 0.084 0.500 0.652
Ni3 0.183 0.500 0.443
As1 0.024 0.500 0.191
As2 0.189 0.000 0.671
```


Entry 2
The following is a PBE calculation of an optimized crystal structure of NaNi3As2, from the Alexandria database.

Calculated values
V in Å³/atom: 14.81
DOS(E_F) in states/eV/cell: 23.1

CIF file:
```
data_NaNi3As2
_symmetry_space_group_name_H-M 'C 1 2/m 1'
_symmetry_Int_Tables_number 12
_cell_length_a 15.668
_cell_length_b 3.776
_cell_length_c 9.370
_cell_angle_alpha 90.00
_cell_angle_beta 105.85
_cell_angle_gamma 90.00
loop_
_symmetry_equiv_pos_as_xyz
'x,y,z'
'-x,-y,-z'
'-x,y,-z'
'x,-y,z'
'x+1/2,y+1/2,z'
'-x+1/2,-y+1/2,-z'
'-x+1/2,y+1/2,-z'
'x+1/2,-y+1/2,z'
loop_
_atom_site_label
_atom_site_fract_x
_atom_site_fract_y
_atom_site_fract_z
Na1 0.000 0.000 0.000
Na2 0.160 0.000 0.709
Ni1 0.000 0.500 0.500
Ni2 0.044 0.000 0.333
Ni3 0.122 0.500 0.208
Ni4 0.181 0.500 0.970
Ni5 0.214 0.000 0.395
As1 0.038 0.500 0.780
As2 0.140 0.500 0.464
As3 0.196 0.000 0.133
```


Which structure wins on stability? entry 2 wins.